DFT (PBE-GGA) results for a relaxed structure of CaTl2Re.

As for the energy of formation from the pure elements: 654 meV/atom. The calculation puts the density of states at the Fermi level at 3.463 states/eV/cell. As for the density: 10.91 Mg/m³.

a = 3.195 Å, b = 3.195 Å, c = 9.469 Å
α = 90.00°, β = 90.00°, γ = 90.03°
Positions (direct):
Tl: 0.500 0.500 0.244
Tl: 0.000 0.000 0.964
Ca: 0.000 0.000 0.536
Re: 0.500 0.500 0.755